No. 1
Below is a relaxed TlSi4As crystal, with properties calculated at the PBE-GGA level.

```
TlSi4As
1.0
0.000 3.807 3.807
3.807 0.000 3.807
3.807 3.807 0.000
Tl Si As
1 4 1
Direct
0.000 0.000 0.000
0.376 0.376 0.376
0.376 0.376 0.872
0.376 0.872 0.376
0.872 0.376 0.376
0.750 0.750 0.750
```

Properties
**Theoretical density**: 5.892 Mg/m³
**Uncorrected formation energy**: 0.609 eV per atom

***

No. 2
Below is a relaxed Tl2SiAs crystal, with properties calculated at the PBE-GGA level.

```
Tl2SiAs
1.0
-2.392 2.392 4.272
2.392 -2.392 4.272
2.392 2.392 -4.272
Tl Si As
2 1 1
Direct
0.000 0.000 0.000
0.750 0.250 0.500
0.500 0.500 0.000
0.250 0.750 0.500
```

Properties
**ΔE to the lowest computed polymorph**: 31.0 kJ/mol of atoms
**Theoretical density**: 8.688 Mg/m³
**Uncorrected formation energy**: 0.455 eV per atom

***

No. 3
Below is a relaxed Tl2SiAs crystal, with properties calculated at the PBE-GGA level.

```
Tl2SiAs
1.0
4.997 0.000 0.000
0.000 3.706 0.000
-2.398 0.000 5.939
Tl Si As
2 1 1
Direct
0.000 0.000 0.000
0.298 0.500 0.600
0.570 0.500 0.144
0.705 0.000 0.408
```

Properties
**ΔE to the lowest computed polymorph**: 0.0 kJ/mol of atoms
**Theoretical density**: 7.728 Mg/m³
**Uncorrected formation energy**: 0.134 eV per atom

***

No. 4
Below is a relaxed TlSi2As2 crystal, with properties calculated at the PBE-GGA level.

```
TlSi2As2
1.0
-2.434 2.434 4.333
2.434 -2.434 4.333
2.434 2.434 -4.333
Tl Si As
1 2 2
Direct
0.000 0.000 0.000
0.356 0.356 0.000
0.644 0.644 0.000
0.250 0.750 0.500
0.750 0.250 0.500
```

Properties
**ΔE to the lowest computed polymorph**: 0.0 kJ/mol of atoms
**Theoretical density**: 6.637 Mg/m³
**Uncorrected formation energy**: 0.175 eV per atom

***

No. 5
Below is a relaxed Tl2SiAs crystal, with properties calculated at the PBE-GGA level.

```
Tl2SiAs
1.0
3.084 0.000 0.000
0.000 3.084 0.000
0.000 0.000 10.360
Tl Si As
2 1 1
Direct
0.000 0.000 0.250
0.000 0.000 0.750
0.500 0.500 0.000
0.500 0.500 0.500
```

Properties
**ΔE to the lowest computed polymorph**: 34.5 kJ/mol of atoms
**Theoretical density**: 8.627 Mg/m³
**Uncorrected formation energy**: 0.492 eV per atom

***

No. 6
Below is a relaxed Tl2SiAs crystal, with properties calculated at the PBE-GGA level.

```
Tl2SiAs
1.0
3.163 -4.967 0.000
3.163 4.967 0.000
-0.495 0.000 3.099
Tl Si As
2 1 1
Direct
0.000 0.500 0.000
0.500 0.000 0.000
0.000 0.000 0.500
0.500 0.500 0.500
```

Properties
**ΔE to the lowest computed polymorph**: 32.1 kJ/mol of atoms
**Theoretical density**: 8.726 Mg/m³
**Uncorrected formation energy**: 0.466 eV per atom

***

No. 7
Below is a relaxed TlSiAs3 crystal, with properties calculated at the PBE-GGA level.

```
TlSiAs3
1.0
5.269 0.000 0.000
0.000 5.269 0.000
0.000 0.000 5.269
Tl Si As
1 1 3
Direct
0.000 0.000 0.000
0.500 0.500 0.500
0.000 0.000 0.500
0.000 0.500 0.000
0.500 0.000 0.000
```

Properties
**ΔE to the lowest computed polymorph**: 91.7 kJ/mol of atoms
**Theoretical density**: 5.190 Mg/m³
**Uncorrected formation energy**: 1.419 eV per atom

***

No. 8
Below is a relaxed Tl2SiAs crystal, with properties calculated at the PBE-GGA level.

```
Tl2SiAs
1.0
3.536 0.000 0.000
0.000 3.536 0.000
0.000 0.000 8.065
Tl Si As
2 1 1
Direct
0.000 0.000 0.000
0.500 0.500 0.336
0.500 0.500 0.725
0.000 0.000 0.619
```

Properties
**ΔE to the lowest computed polymorph**: 3.0 kJ/mol of atoms
**Theoretical density**: 8.426 Mg/m³
**Uncorrected formation energy**: 0.165 eV per atom

***

No. 9
Below is a relaxed Tl2SiAs crystal, with properties calculated at the PBE-GGA level.

```
Tl2SiAs
1.0
0.000 3.643 3.643
3.643 0.000 3.643
3.643 3.643 0.000
Tl Si As
2 1 1
Direct
0.250 0.250 0.250
0.750 0.750 0.750
0.000 0.000 0.000
0.500 0.500 0.500
```

Properties
**ΔE to the lowest computed polymorph**: 36.7 kJ/mol of atoms
**Theoretical density**: 8.789 Mg/m³
**Uncorrected formation energy**: 0.515 eV per atom

***

No. 10
Below is a relaxed Tl2SiAs crystal, with properties calculated at the PBE-GGA level.

```
Tl2SiAs
1.0
3.229 0.000 0.000
0.000 4.602 0.000
-1.116 0.000 6.556
Tl Si As
2 1 1
Direct
0.031 0.000 0.252
0.969 0.000 0.748
0.500 0.500 0.500
0.500 0.500 0.000
```

Properties
**ΔE to the lowest computed polymorph**: 33.0 kJ/mol of atoms
**Theoretical density**: 8.723 Mg/m³
**Uncorrected formation energy**: 0.476 eV per atom

***

No. 11
Below is a relaxed TlSiAs2 crystal, with properties calculated at the PBE-GGA level.

```
TlSiAs2
1.0
4.921 0.000 0.000
0.000 3.616 0.000
-2.277 0.000 5.155
Tl Si As
1 1 2
Direct
0.000 0.000 0.000
0.500 0.000 0.500
0.257 0.500 0.667
0.743 0.500 0.333
```

Properties
**ΔE to the lowest computed polymorph**: 11.0 kJ/mol of atoms
**Theoretical density**: 6.921 Mg/m³
**Uncorrected formation energy**: 0.171 eV per atom

***

No. 12
Below is a relaxed TlSi2As2 crystal, with properties calculated at the PBE-GGA level.

```
TlSi2As2
1.0
-2.149 2.149 6.536
2.149 -2.149 6.536
2.149 2.149 -6.536
Tl Si As
1 2 2
Direct
0.000 0.000 0.000
0.250 0.750 0.500
0.750 0.250 0.500
0.355 0.355 0.000
0.645 0.645 0.000
```

Properties
**ΔE to the lowest computed polymorph**: 6.5 kJ/mol of atoms
**Theoretical density**: 5.643 Mg/m³
**Uncorrected formation energy**: 0.242 eV per atom